First-principles (PBE-GGA) data for an optimized crystal structure of Rb2FeBi, as listed in Alexandria.

Lattice parameters (Å, degrees): 13.657 13.657 9.988 46.87 46.87 90.00
Atoms (fractional coordinates):
Fe (0.500, 0.500, 0.000)
Fe (0.250, 0.750, 0.500)
Rb (0.382, 0.125, 0.250)
Rb (0.368, 0.625, 0.250)
Rb (0.875, 0.632, 0.750)
Rb (0.375, 0.618, 0.750)
Bi (0.750, 0.250, 0.500)
Bi (0.000, 0.000, 0.000)

Fermi-level density of states: 1.1 states/eV per cell
Raw total energy: -25.98 eV per cell
ΔH_f (0 K): 322 meV/atom
Symmetry: No. 122
Spin magnetization: 3.00 μB/f.u.